(1)
# KLa2Si

KLa2Si after structural relaxation (PBE-GGA, Alexandria).

- total DFT energy (no corrections) (eV/atom) = -4.00
- SG = Cmmm

Cell: 5.109 5.109 4.619 Å, 90.00 90.00 90.07°
Sites, in units of the cell vectors:
K 0.000 0.000 0.000
La 0.000 0.500 0.500
La 0.500 0.000 0.500
Si 0.500 0.500 0.000

(2)
# NaNpCuF6

NaNpCuF6 after structural relaxation (PBE-GGA, Alexandria).

- total DFT energy (no corrections) (eV/atom) = -5.99
- SG = P-31c

Cell: 5.837 5.837 9.109 Å, 90.00 90.00 120.00°
Sites, in units of the cell vectors:
Na 0.333 0.667 0.250
Na 0.667 0.333 0.750
Np 0.333 0.667 0.750
Np 0.667 0.333 0.250
Cu 0.000 0.000 0.000
Cu 0.000 0.000 0.500
F 0.017 0.339 0.624
F 0.017 0.678 0.876
F 0.322 0.339 0.876
F 0.322 0.983 0.624
F 0.339 0.017 0.124
F 0.339 0.322 0.376
F 0.661 0.678 0.624
F 0.661 0.983 0.876
F 0.678 0.017 0.376
F 0.678 0.661 0.124
F 0.983 0.322 0.124
F 0.983 0.661 0.376

| no. | total magnetization (μB/f.u.) | formation energy from raw total energies (eV/atom) | N(E_F) (states/eV/cell) |
| --- | --- | --- | --- |
| 1 | 0.0 | 0.092 | 3.8 |
| 2 | 3.0 | -2.708 | 24.9 |